Below is a relaxed ErScIn2Te4 crystal, with properties calculated at the PBE level.

Results
**M_tot**: 0.00 Bohr magnetons per cell
**Volume**: 32.37 A^3/atom
**Crystal system**: monoclinic
**VASP energy**: -4.5153 eV per atom

a = 7.4655 Å, b = 4.3101 Å, c = 8.4233 Å
α = 90.00°, β = 107.15°, γ = 90.00°
Closest atoms and distances in Å follow each position.
Space group P2/m (No. 10)
Unique sites:
Er 0.0000 0.0000 0.0000  6 Te 3.06
Sc 0.5000 0.5000 0.0000  6 Te 2.98-2.99
In 0.0000 0.5000 0.5000  6 Te 3.43
In 0.5000 0.0000 0.5000  6 Te 3.36
Te 0.2471 0.5000 0.2158  1 Sc 2.98, 2 Er 3.06
Te 0.2717 0.0000 0.7891  2 Sc 2.99, 1 Er 3.06